## RbNaSr2Li (PBE)

Data for a geometry-optimized RbNaSr2Li structure.

formation energy from the elements = 181.4 meV/atom
crystal system = tetragonal

a = 6.5995 Å, b = 6.5995 Å, c = 6.2074 Å
α = 90.00°, β = 90.00°, γ = 90.00°
Closest atoms and distances in Å follow each position.
Space group P4/mmm (No. 123)
Inequivalent atoms, fractional coordinates:
Rb 0.0000 0.0000 0.0000  8 Sr 4.53, 4 Na 4.67
Na 0.5000 0.5000 0.0000  2 Li 3.10
Sr 0.0000 0.5000 0.5000  2 Li 3.30
Li 0.5000 0.5000 0.5000  2 Na 3.10, 4 Sr 3.30

## RbNaSrLi (PBE)

Data for a geometry-optimized RbNaSrLi structure.

formation energy from the elements = 142.8 meV/atom
crystal system = cubic

a = 9.1810 Å, b = 9.1810 Å, c = 9.1810 Å
α = 90.00°, β = 90.00°, γ = 90.00°
Closest atoms and distances in Å follow each position.
Space group F-43m (No. 216)
Inequivalent atoms, fractional coordinates:
Rb 0.0000 0.0000 0.0000  4 Na 3.98, 4 Li 3.98
Na 0.2500 0.2500 0.7500  4 Rb 3.98, 4 Sr 3.98
Sr 0.0000 0.0000 0.5000  4 Li 3.98, 4 Na 3.98
Li 0.2500 0.2500 0.2500  4 Rb 3.98, 4 Sr 3.98

## RbNa2SrLi (PBE)

Data for a geometry-optimized RbNa2SrLi structure.

formation energy from the elements = 170.1 meV/atom
crystal system = tetragonal

a = 6.2083 Å, b = 6.2083 Å, c = 6.5334 Å
α = 90.00°, β = 90.00°, γ = 90.00°
Closest atoms and distances in Å follow each position.
Space group P4/mmm (No. 123)
Inequivalent atoms, fractional coordinates:
Rb 0.0000 0.0000 0.0000  4 Sr 4.39, 8 Na 4.51
Na 0.0000 0.5000 0.5000  2 Li 3.10
Sr 0.5000 0.5000 0.0000  2 Li 3.27
Li 0.5000 0.5000 0.5000  4 Na 3.10, 2 Sr 3.27

## Rb2NaLiTe (PBE)

Data for a geometry-optimized Rb2NaLiTe structure.

energy relative to the elements, uncorrected = -2.404 eV per formula unit
crystal system = tetragonal

a = 7.2397 Å, b = 7.2397 Å, c = 5.2332 Å
α = 90.00°, β = 90.00°, γ = 90.00°
Closest atoms and distances in Å follow each position.
Space group P4/mmm (No. 123)
Inequivalent atoms, fractional coordinates:
Rb 0.0000 0.5000 0.0000  2 Te 3.62
Na 0.0000 0.0000 0.5000  8 Rb 4.47
Li 0.5000 0.5000 0.5000  2 Te 2.62
Te 0.5000 0.5000 0.0000  2 Li 2.62

## Rb2NaLiTe2 (PBE)

Data for a geometry-optimized Rb2NaLiTe2 structure.

energy relative to the elements, uncorrected = -6.141 eV per formula unit
crystal system = orthorhombic

a = 7.2502 Å, b = 16.3878 Å, c = 7.2062 Å
α = 90.00°, β = 90.00°, γ = 90.00°
Closest atoms and distances in Å follow each position.
Space group Ibam (No. 72)
Inequivalent atoms, fractional coordinates:
Rb 0.2476 0.1697 0.0000  5 Te 3.68-3.92, 2 Na 3.77, 2 Li 3.79
Na 0.0000 0.0000 0.2500  4 Te 3.12
Li 0.0000 0.5000 0.2500  4 Te 2.95
Te 0.2302 0.4001 0.0000  2 Li 2.95, 2 Na 3.12

## RbNaLi2Tl (PBE)

Data for a geometry-optimized RbNaLi2Tl structure.

formation energy from the elements = 20.1 meV/atom
crystal system = tetragonal

a = 5.5663 Å, b = 5.5663 Å, c = 5.9908 Å
α = 90.00°, β = 90.00°, γ = 90.00°
Closest atoms and distances in Å follow each position.
Space group P4/mmm (No. 123)
Inequivalent atoms, fractional coordinates:
Rb 0.0000 0.0000 0.0000  4 Na 3.94, 8 Li 4.09
Na 0.5000 0.5000 0.0000  2 Tl 3.00
Li 0.0000 0.5000 0.5000  2 Tl 2.78
Tl 0.5000 0.5000 0.5000  4 Li 2.78, 2 Na 3.00

## RbNa2LiTl (PBE)

Data for a geometry-optimized RbNa2LiTl structure.

formation energy from the elements = 15.0 meV/atom
crystal system = tetragonal

a = 6.0862 Å, b = 6.0862 Å, c = 5.6028 Å
α = 90.00°, β = 90.00°, γ = 90.00°
Closest atoms and distances in Å follow each position.
Space group P4/mmm (No. 123)
Inequivalent atoms, fractional coordinates:
Rb 0.0000 0.0000 0.0000  8 Na 4.14, 4 Li 4.30
Na 0.0000 0.5000 0.5000  2 Tl 3.04
Li 0.5000 0.5000 0.0000  2 Tl 2.80
Tl 0.5000 0.5000 0.5000  2 Li 2.80, 4 Na 3.04

## RbNaLiTl (PBE)

Data for a geometry-optimized RbNaLiTl structure.

formation energy from the elements = 56.5 meV/atom
crystal system = cubic

a = 8.2086 Å, b = 8.2086 Å, c = 8.2086 Å
α = 90.00°, β = 90.00°, γ = 90.00°
Closest atoms and distances in Å follow each position.
Space group F-43m (No. 216)
Inequivalent atoms, fractional coordinates:
Rb 0.0000 0.0000 0.0000  4 Li 3.55, 4 Na 3.55
Na 0.2500 0.2500 0.2500  4 Tl 3.55, 4 Rb 3.55
Li 0.2500 0.2500 0.7500  4 Tl 3.55, 4 Rb 3.55
Tl 0.0000 0.0000 0.5000  4 Na 3.55, 4 Li 3.55

## RbNa2LiTl (PBE)

Data for a geometry-optimized RbNa2LiTl structure.

formation energy from the elements = 38.1 meV/atom
crystal system = tetragonal

a = 5.8953 Å, b = 5.8953 Å, c = 5.4675 Å
α = 90.00°, β = 90.00°, γ = 90.00°
Closest atoms and distances in Å follow each position.
Space group P4/mmm (No. 123)
Inequivalent atoms, fractional coordinates:
Rb 0.0000 0.0000 0.0000  8 Na 4.02, 4 Tl 4.17
Na 0.0000 0.5000 0.5000  2 Li 2.95
Li 0.5000 0.5000 0.5000  2 Tl 2.73, 4 Na 2.95
Tl 0.5000 0.5000 0.0000  2 Li 2.73

## Rb2NaLiTl (PBE)

Data for a geometry-optimized Rb2NaLiTl structure.

formation energy from the elements = 314.0 meV/atom
crystal system = tetragonal

a = 7.0499 Å, b = 7.0499 Å, c = 5.6005 Å
α = 90.00°, β = 90.00°, γ = 90.00°
Closest atoms and distances in Å follow each position.
Space group P4/mmm (No. 123)
Inequivalent atoms, fractional coordinates:
Rb 0.0000 0.5000 0.0000  2 Na 3.52
Na 0.0000 0.0000 0.0000  2 Li 2.80
Li 0.0000 0.0000 0.5000  2 Na 2.80
Tl 0.5000 0.5000 0.5000  8 Rb 4.50, 4 Li 4.99

## RbNaLi2Y (PBE)

Data for a geometry-optimized RbNaLi2Y structure.

formation energy from the elements = 711.2 meV/atom
crystal system = tetragonal

a = 6.1669 Å, b = 6.1669 Å, c = 6.6961 Å
α = 90.00°, β = 90.00°, γ = 90.00°
Closest atoms and distances in Å follow each position.
Space group P4/mmm (No. 123)
Inequivalent atoms, fractional coordinates:
Rb 0.0000 0.0000 0.0000  4 Na 4.36, 8 Li 4.55
Na 0.5000 0.5000 0.0000  2 Y 3.35
Li 0.0000 0.5000 0.5000  2 Y 3.08
Y 0.5000 0.5000 0.5000  4 Li 3.08, 2 Na 3.35

## RbNa2LiZn (PBE)

Data for a geometry-optimized RbNa2LiZn structure.

formation energy from the elements = 118.4 meV/atom
crystal system = tetragonal

a = 5.9541 Å, b = 5.9541 Å, c = 5.3891 Å
α = 90.00°, β = 90.00°, γ = 90.00°
Closest atoms and distances in Å follow each position.
Space group P4/mmm (No. 123)
Inequivalent atoms, fractional coordinates:
Rb 0.0000 0.0000 0.0000  8 Na 4.02, 4 Li 4.21
Na 0.0000 0.5000 0.5000  2 Zn 2.98
Li 0.5000 0.5000 0.0000  2 Zn 2.69
Zn 0.5000 0.5000 0.5000  2 Li 2.69, 4 Na 2.98